The following is a PBE+U calculation of a relaxed structure of Li2NpCrO8, from the Alexandria database.

Magnetic moment: 0.9 μB per cell
Total energy: -6.89 eV/atom

Unit cell a=5.9205 b=5.9205 c=5.9205 alpha=114.06 beta=114.06 gamma=100.64
Closest atoms and distances in Å follow each position.
Sites, in units of the cell vectors:
Li: 0.0000 0.0000 0.0000  4 O 2.01
Li: 0.7500 0.2500 0.5000  4 O 2.05
Np: 0.2500 0.7500 0.5000  4 O 1.87
Cr: 0.5000 0.5000 0.0000  4 O 1.70
O: 0.0308 0.8114 0.2194  1 Np 1.87, 1 Li 2.01
O: 0.1672 0.4071 0.7601  1 Cr 1.70
O: 0.1886 0.4080 0.2194  1 Np 1.87, 1 Li 2.01
O: 0.1886 0.9692 0.7806  1 Np 1.87, 1 Li 2.01
O: 0.5920 0.8114 0.7806  1 Np 1.87, 1 Li 2.01
O: 0.5929 0.3531 0.7601  1 Cr 1.70
O: 0.5929 0.8328 0.2399  1 Cr 1.70
O: 0.6469 0.4071 0.2399  1 Cr 1.70